{"formula": "KCuAsS2", "functional": "GGA-PBE", "state": "optimized geometry", "cell": [[-3.7902, -0.5880, -0.8537], [1.2843, -7.1160, -0.8006], [-1.6203, -0.7248, 7.6930]], "species": ["S", "S", "K", "K", "As", "As", "S", "Cu", "Cu", "S"], "frac_coords": [[0.6002, 0.7698, 0.9889], [0.3998, 0.7698, 0.4889], [0.9397, 0.5000, 0.2500], [0.0603, 0.5000, 0.7500], [0.5054, 0.0000, 0.7500], [0.4946, 0.0000, 0.2500], [0.6002, 0.2302, 0.5111], [0.0000, 0.0000, 0.5000], [0.0000, 0.0000, 0.0000], [0.3998, 0.2302, 0.0111]], "vol_a3_per_atom": 22.537, "formation_energy_uncorrected_ev_per_atom": -0.347, "energy_ev_per_cell": -39.66}